## CsCaMoO4 (GGA+U)

Data for a relaxed CsCaMoO4 crystal.

Cell lengths 6.1784, 6.3309, 8.8453 Å; angles 90.00, 94.91, 90.00 degrees
Space group P2_1/m (No. 11)
Unique sites:
Cs1 0.1887 0.2500 0.4506 x2
Ca1 0.1266 0.2500 0.9782 x2
Mo1 0.3283 0.7500 0.2369 x2
O1 0.1503 0.5291 0.1432 x4
O2 0.2919 0.7500 0.4384 x2
O3 0.3935 0.2500 0.8196 x2

## Properties
Uncorrected energy (eV per atom): -6.344